Entry 1:
Computed, not measured: KTiIN2 after structural relaxation at the PBE level of DFT.

- ΔE_f (raw): 78 meV/atom
- E above lowest polymorph: 0.0 meV per atom

abc: 4.160 4.160 5.879
angles: 90.00 90.00 90.00
Element x y z (fractional)
K (0.000, 0.000, 0.000)
Ti (0.500, 0.500, 0.500)
I (0.500, 0.500, 0.000)
N (0.000, 0.500, 0.500)
N (0.500, 0.000, 0.500)

=====

Entry 2:
Computed, not measured: PuZrTe2 after structural relaxation at the PBE level of DFT.

- ΔE_f (raw): -210 meV/atom
- E above lowest polymorph: 661.1 meV per atom

abc: 9.987 9.987 9.987
angles: 22.87 22.87 22.87
Element x y z (fractional)
Pu (0.000, 0.000, 0.000)
Zr (0.500, 0.500, 0.500)
Te (0.404, 0.404, 0.404)
Te (0.596, 0.596, 0.596)

=====

Entry 3:
Computed, not measured: Mn3VBi after structural relaxation at the PBE level of DFT.

- E above lowest polymorph: 0.0 meV per atom
- Formation energy from the elements: 805.4 meV/atom

abc: 4.543 4.543 4.543
angles: 90.00 90.00 90.00
Element x y z (fractional)
Mn (0.000, 0.000, 0.500)
Mn (0.000, 0.500, 0.000)
Mn (0.500, 0.000, 0.000)
V (0.000, 0.000, 0.000)
Bi (0.500, 0.500, 0.500)

=====

Entry 4:
Computed, not measured: TbCeCoAu after structural relaxation at the PBE level of DFT.

- Formation energy from the elements: -329.6 meV/atom

abc: 4.995 4.995 4.995
angles: 60.00 60.00 60.00
Element x y z (fractional)
Tb (0.000, 0.000, 0.000)
Ce (0.500, 0.500, 0.500)
Co (0.250, 0.250, 0.250)
Au (0.750, 0.750, 0.750)

=====

Entry 5:
Computed, not measured: Ce6Th4O19 after structural relaxation at the PBE level of DFT.

- ΔE_f (raw): -3646 meV/atom

abc: 10.355 10.355 6.818
angles: 96.26 96.26 141.51
Element x y z (fractional)
Ce (0.000, 0.000, 0.000)
Ce (0.104, 0.892, 0.531)
Ce (0.402, 0.596, 0.027)
Ce (0.529, 0.529, 0.528)
Ce (0.596, 0.402, 0.027)
Ce (0.892, 0.104, 0.531)
Th (0.200, 0.803, 0.031)
Th (0.300, 0.693, 0.526)
Th (0.693, 0.300, 0.526)
Th (0.803, 0.200, 0.031)
O (0.001, 0.818, 0.173)
O (0.028, 0.230, 0.895)
O (0.078, 0.675, 0.658)
O (0.171, 0.570, 0.151)
O (0.230, 0.028, 0.895)
O (0.265, 0.446, 0.620)
O (0.324, 0.919, 0.405)
O (0.364, 0.364, 0.165)
O (0.431, 0.817, 0.906)
O (0.446, 0.265, 0.620)
O (0.532, 0.735, 0.399)
O (0.570, 0.171, 0.151)
O (0.633, 0.633, 0.896)
O (0.675, 0.078, 0.658)
O (0.735, 0.532, 0.399)
O (0.817, 0.431, 0.906)
O (0.818, 0.001, 0.173)
O (0.896, 0.896, 0.631)
O (0.919, 0.324, 0.405)

=====

Entry 6:
Computed, not measured: BaBe2CdSe after structural relaxation at the PBE level of DFT.

- ΔE_f (raw): 118 meV/atom

abc: 4.629 4.629 6.254
angles: 90.00 90.00 90.00
Element x y z (fractional)
Ba (0.000, 0.000, 0.000)
Be (0.000, 0.500, 0.500)
Be (0.500, 0.000, 0.500)
Cd (0.500, 0.500, 0.500)
Se (0.500, 0.500, 0.000)

=====

Entry 7:
Computed, not measured: K2Tl7In after structural relaxation at the PBE level of DFT.

- Formation energy from the elements: 146.0 meV/atom

abc: 8.492 8.492 8.492
angles: 60.00 60.00 60.00
Element x y z (fractional)
K (0.250, 0.250, 0.250)
K (0.750, 0.750, 0.750)
Tl (0.000, 0.000, 0.000)
Tl (0.253, 0.253, 0.747)
Tl (0.253, 0.747, 0.253)
Tl (0.253, 0.747, 0.747)
Tl (0.747, 0.253, 0.253)
Tl (0.747, 0.253, 0.747)
Tl (0.747, 0.747, 0.253)
In (0.500, 0.500, 0.500)

=====

Entry 8:
Computed, not measured: SrLi2Bi2 after structural relaxation at the PBE level of DFT.

- E above lowest polymorph: 159.8 meV per atom
- Formation energy from the elements: -477.1 meV/atom

abc: 6.380 6.380 6.380
angles: 131.27 131.27 71.38
Element x y z (fractional)
Sr (0.000, 0.000, 0.000)
Li (0.361, 0.361, 0.000)
Li (0.639, 0.639, 0.000)
Bi (0.250, 0.750, 0.500)
Bi (0.750, 0.250, 0.500)

=====

Entry 9:
Computed, not measured: NaCdSnSe3 after structural relaxation at the PBE level of DFT.

- ΔE_f (raw): -527 meV/atom

abc: 7.986 4.083 10.484
angles: 90.00 104.56 90.00
Element x y z (fractional)
Na (0.224, 0.250, 0.214)
Na (0.776, 0.750, 0.786)
Cd (0.328, 0.750, 0.922)
Cd (0.672, 0.250, 0.078)
Sn (0.158, 0.250, 0.639)
Sn (0.842, 0.750, 0.361)
Se (0.073, 0.250, 0.880)
Se (0.213, 0.750, 0.476)
Se (0.488, 0.750, 0.185)
Se (0.512, 0.250, 0.815)
Se (0.787, 0.250, 0.524)
Se (0.927, 0.750, 0.120)

=====

Entry 10:
Computed, not measured: TlZnGa after structural relaxation at the PBE level of DFT.

- Formation energy from the elements: 54.0 meV/atom

abc: 4.391 4.869 6.549
angles: 94.16 90.32 90.08
Element x y z (fractional)
Tl (0.000, 0.000, 0.000)
Tl (0.498, 0.491, 0.228)
Zn (0.000, 0.384, 0.628)
Zn (0.499, 0.105, 0.600)
Ga (0.500, 0.628, 0.769)
Ga (0.998, 0.861, 0.460)

=====

Entry 11:
Computed, not measured: BaHg4BiPd2 after structural relaxation at the PBE level of DFT.

- Formation energy from the elements: -83.2 meV/atom

abc: 5.489 5.489 7.499
angles: 90.00 90.00 90.00
Element x y z (fractional)
Ba (0.000, 0.000, 0.000)
Hg (0.000, 0.500, 0.279)
Hg (0.000, 0.500, 0.721)
Hg (0.500, 0.000, 0.279)
Hg (0.500, 0.000, 0.721)
Bi (0.000, 0.000, 0.500)
Pd (0.500, 0.500, 0.304)
Pd (0.500, 0.500, 0.696)

=====

Entry 12:
Computed, not measured: KAgBr2 after structural relaxation at the PBE level of DFT.

- ΔE_f (raw): -841 meV/atom

abc: 3.784 5.345 5.404
angles: 90.00 90.00 90.00
Element x y z (fractional)
K (0.000, 0.000, 0.000)
Ag (0.000, 0.500, 0.500)
Br (0.500, 0.000, 0.500)
Br (0.500, 0.500, 0.000)

=====

Entry 13:
Computed, not measured: Pm2ThCd after structural relaxation at the PBE level of DFT.

- E above lowest polymorph: 121.7 meV per atom
- Formation energy from the elements: -43.9 meV/atom

abc: 4.951 4.951 4.932
angles: 90.00 90.00 90.00
Element x y z (fractional)
Pm (0.000, 0.500, 0.000)
Pm (0.500, 0.000, 0.000)
Th (0.000, 0.000, 0.500)
Cd (0.500, 0.500, 0.500)

=====

Entry 14:
Computed, not measured: SrCuPt4 after structural relaxation at the PBE level of DFT.

- Formation energy from the elements: -380.1 meV/atom

abc: 5.401 5.401 5.401
angles: 60.00 60.00 60.00
Element x y z (fractional)
Sr (0.000, 0.000, 0.000)
Cu (0.750, 0.750, 0.750)
Pt (0.375, 0.375, 0.375)
Pt (0.375, 0.375, 0.874)
Pt (0.375, 0.874, 0.375)
Pt (0.874, 0.375, 0.375)

=====

Entry 15:
Computed, not measured: ZrAgAs2O8 after structural relaxation at the PBE level of DFT.

- ΔE_f (raw): -1416 meV/atom

abc: 5.628 5.628 6.659
angles: 90.00 90.00 120.00
Element x y z (fractional)
Zr (0.000, 0.000, 0.000)
Ag (0.000, 0.000, 0.500)
As (0.333, 0.667, 0.287)
As (0.667, 0.333, 0.713)
O (0.168, 0.336, 0.195)
O (0.168, 0.832, 0.195)
O (0.333, 0.667, 0.540)
O (0.336, 0.168, 0.805)
O (0.664, 0.832, 0.195)
O (0.667, 0.333, 0.460)
O (0.832, 0.168, 0.805)
O (0.832, 0.664, 0.805)

=====

Entry 16:
Computed, not measured: Zr2Cr2Tc after structural relaxation at the PBE level of DFT.

- Formation energy from the elements: 84.2 meV/atom

abc: 6.177 6.177 4.479
angles: 90.00 90.00 90.00
Element x y z (fractional)
Zr (0.179, 0.321, 0.000)
Zr (0.321, 0.821, 0.000)
Zr (0.679, 0.179, 0.000)
Zr (0.821, 0.679, 0.000)
Cr (0.126, 0.626, 0.500)
Cr (0.374, 0.126, 0.500)
Cr (0.626, 0.874, 0.500)
Cr (0.874, 0.374, 0.500)
Tc (0.000, 0.000, 0.500)
Tc (0.500, 0.500, 0.500)

=====

Entry 17:
Computed, not measured: MnCo2As after structural relaxation at the PBE level of DFT.

- Formation energy from the elements: 185.5 meV/atom

abc: 7.823 7.823 7.823
angles: 20.44 20.44 20.44
Element x y z (fractional)
Mn (0.000, 0.000, 0.000)
Co (0.248, 0.248, 0.248)
Co (0.752, 0.752, 0.752)
As (0.500, 0.500, 0.500)

=====

Entry 18:
Computed, not measured: Li8Cd2Sn after structural relaxation at the PBE level of DFT.

- E above lowest polymorph: 65.5 meV per atom
- Formation energy from the elements: -173.1 meV/atom

abc: 7.564 7.564 4.726
angles: 101.04 101.04 119.25
Element x y z (fractional)
Li (0.085, 0.299, 0.618)
Li (0.211, 0.789, 0.000)
Li (0.299, 0.085, 0.618)
Li (0.384, 0.384, 0.183)
Li (0.616, 0.616, 0.817)
Li (0.701, 0.915, 0.382)
Li (0.789, 0.211, 0.000)
Li (0.915, 0.701, 0.382)
Cd (0.315, 0.685, 0.500)
Cd (0.685, 0.315, 0.500)
Sn (0.000, 0.000, 0.000)

=====

Entry 19:
Computed, not measured: Cs2ScCoPb after structural relaxation at the PBE level of DFT.

- Formation energy from the elements: 833.0 meV/atom

abc: 7.227 7.227 4.282
angles: 90.00 90.00 90.00
Element x y z (fractional)
Cs (0.000, 0.500, 0.000)
Cs (0.500, 0.000, 0.000)
Sc (0.000, 0.000, 0.000)
Co (0.000, 0.000, 0.500)
Pb (0.500, 0.500, 0.500)

=====

Entry 20:
Computed, not measured: Ca2Ta after structural relaxation at the PBE level of DFT.

- E above lowest polymorph: 8.0 meV per atom
- Formation energy from the elements: 467.3 meV/atom

abc: 14.693 14.693 3.954
angles: 90.00 90.00 166.70
Element x y z (fractional)
Ca (0.053, 0.947, 0.750)
Ca (0.346, 0.654, 0.750)
Ca (0.654, 0.346, 0.250)
Ca (0.947, 0.053, 0.250)
Ta (0.264, 0.736, 0.250)
Ta (0.736, 0.264, 0.750)

=====

Entry 21:
Computed, not measured: NaGaSe2Br after structural relaxation at the PBE level of DFT.

- ΔE_f (raw): -401 meV/atom
- E above lowest polymorph: 0.0 meV per atom

abc: 4.956 4.956 5.712
angles: 90.00 90.00 90.00
Element x y z (fractional)
Na (0.000, 0.000, 0.000)
Ga (0.500, 0.500, 0.500)
Se (0.000, 0.500, 0.500)
Se (0.500, 0.000, 0.500)
Br (0.500, 0.500, 0.000)

=====

Entry 22:
Computed, not measured: Ho3ErTm2Se6 after structural relaxation at the PBE level of DFT.

- ΔE_f (raw): -1695 meV/atom

abc: 9.036 9.036 8.112
angles: 103.46 103.46 25.75
Element x y z (fractional)
Ho (0.000, 0.000, 0.000)
Ho (0.334, 0.334, 0.667)
Ho (0.666, 0.666, 0.333)
Er (0.000, 0.000, 0.500)
Tm (0.334, 0.334, 0.168)
Tm (0.666, 0.666, 0.832)
Se (0.167, 0.167, 0.586)
Se (0.168, 0.168, 0.081)
Se (0.499, 0.499, 0.251)
Se (0.501, 0.501, 0.749)
Se (0.832, 0.832, 0.919)
Se (0.833, 0.833, 0.414)

=====

Entry 23:
Computed, not measured: Ba2LiCa after structural relaxation at the PBE level of DFT.

- E above lowest polymorph: 89.6 meV per atom
- Formation energy from the elements: 121.1 meV/atom

abc: 13.000 13.000 13.000
angles: 18.47 18.47 18.47
Element x y z (fractional)
Ba (0.000, 0.000, 0.000)
Ba (0.180, 0.180, 0.180)
Li (0.590, 0.590, 0.590)
Ca (0.424, 0.424, 0.424)

=====

Entry 24:
Computed, not measured: Nb2Ga2Se after structural relaxation at the PBE level of DFT.

- ΔE_f (raw): -207 meV/atom

abc: 6.923 6.923 3.810
angles: 90.00 90.00 90.00
Element x y z (fractional)
Nb (0.172, 0.328, 0.000)
Nb (0.328, 0.828, 0.000)
Nb (0.672, 0.172, 0.000)
Nb (0.828, 0.672, 0.000)
Ga (0.131, 0.631, 0.500)
Ga (0.369, 0.131, 0.500)
Ga (0.631, 0.869, 0.500)
Ga (0.869, 0.369, 0.500)
Se (0.000, 0.000, 0.000)
Se (0.500, 0.500, 0.000)

=====

Entry 25:
Computed, not measured: SrHg3Pt after structural relaxation at the PBE level of DFT.

- E above lowest polymorph: 0.0 meV per atom
- Formation energy from the elements: -393.5 meV/atom

abc: 6.009 6.361 6.561
angles: 90.00 92.43 90.00
Element x y z (fractional)
Sr (0.161, 0.250, 0.144)
Sr (0.839, 0.750, 0.856)
Hg (0.083, 0.750, 0.378)
Hg (0.360, 0.008, 0.694)
Hg (0.360, 0.492, 0.694)
Hg (0.640, 0.508, 0.306)
Hg (0.640, 0.992, 0.306)
Hg (0.917, 0.250, 0.622)
Pt (0.340, 0.750, 0.040)
Pt (0.660, 0.250, 0.960)